1.
# Np3TiAs4

A relaxed Np3TiAs4 crystal (PBE, Alexandria).

The value obtained for the electronic total energy is -70.9 eV for the cell shown.

Cell: 4.0021 6.9218 6.9218 Å, 109.23 90.00 90.00°
Positions (direct):
Np 0.0000 0.0000 0.5000
Np 0.5000 0.5000 0.5000
Np 0.0000 0.5000 0.0000
As 0.0000 0.2300 0.2300
As 0.5000 0.7620 0.2380
As 0.0000 0.7700 0.7700
As 0.5000 0.2380 0.7620
Ti 0.5000 0.0000 0.0000

2.
# NpTlAs

A relaxed NpTlAs crystal (PBE, Alexandria).

The value obtained for the electronic total energy is -40.6 eV for the cell shown.

Cell: 3.8772 3.8772 11.9480 Å, 80.66 80.66 60.00°
Positions (direct):
Tl 0.3764 0.3764 0.8707
Tl 0.6236 0.6236 0.1293
As 0.2338 0.2338 0.2985
As 0.7662 0.7662 0.7015
Np 0.1508 0.1508 0.5477
Np 0.8492 0.8492 0.4523

3.
# Tm2NpAs3

A relaxed Tm2NpAs3 crystal (PBE, Alexandria).

The value obtained for the electronic total energy is -43.2 eV for the cell shown.

Cell: 4.0797 4.0797 9.0919 Å, 102.97 102.96 90.00°
Positions (direct):
Tm 0.1022 0.1034 0.2097
Tm 0.7664 0.7677 0.5382
Np 0.4341 0.4359 0.8740
As 0.9341 0.9359 0.8740
As 0.2675 0.2688 0.5404
As 0.6011 0.6024 0.2076

4.
# TmNpAs2

A relaxed TmNpAs2 crystal (PBE, Alexandria).

As for the energy above the most stable polymorph in this dataset: 0.133 eV per atom.

Cell: 3.9670 3.9670 7.5144 Å, 74.69 74.69 60.00°
Positions (direct):
Tm 0.6690 0.6690 0.9930
Np 0.4981 0.4981 0.5056
As 0.0804 0.0804 0.7587
As 0.2524 0.2524 0.2427

5.
# TmNpAs2

A relaxed TmNpAs2 crystal (PBE, Alexandria).

As for the energy above the most stable polymorph in this dataset: 0.000 eV per atom.

Cell: 4.0785 4.0785 7.0829 Å, 73.27 73.27 60.00°
Positions (direct):
Np 0.5000 0.5000 0.5000
As 0.7495 0.7495 0.7516
As 0.2505 0.2505 0.2484
Tm 0.0000 0.0000 0.0000

6.
# TmNp5As6

A relaxed TmNp5As6 crystal (PBE, Alexandria).

The value obtained for the electronic total energy is -106.9 eV for the cell shown.

Cell: 7.1021 7.0965 7.1000 Å, 60.02 80.41 70.54°
Positions (direct):
Np 0.5000 0.1664 0.6672
Np 0.0000 0.3334 0.3332
Np 0.5000 0.5000 0.0000
Np 0.0000 0.6666 0.6668
Np 0.5000 0.8336 0.3328
As 0.7513 0.0828 0.3330
As 0.2487 0.5842 0.3330
As 0.2495 0.2497 0.0000
As 0.7505 0.7503 0.0000
As 0.7513 0.4158 0.6670
As 0.2487 0.9172 0.6670
Tm 0.0000 0.0000 0.0000

Number 1: spin magnetization 11.8 μB/cell, DOS(E_F) 23.5 states/eV/cell, theoretical density 9.7 g/cm³. Number 2: spin magnetization 0.0 μB/cell, DOS(E_F) 8.2 states/eV/cell, theoretical density 11.2 g/cm³. Number 3: spin magnetization 3.8 μB/cell, DOS(E_F) 9.5 states/eV/cell, theoretical density 9.3 g/cm³. Number 4: spin magnetization 4.0 μB/cell, DOS(E_F) 6.9 states/eV/cell, theoretical density 9.5 g/cm³. Number 5: spin magnetization 3.8 μB/cell, DOS(E_F) 9.2 states/eV/cell, theoretical density 9.6 g/cm³. Number 6: spin magnetization 19.3 μB/cell, DOS(E_F) 41.1 states/eV/cell, theoretical density 10.2 g/cm³.